Entry 1:
VASP calculation (PBE) on crystalline Dy6ErTh5 at its relaxed geometry.

The space group is Immm (No. 71) and the conventional cell measures 5.023, 10.060 and 15.092 Å, with angles of 90.00, 90.00 and 90.00 degrees. The asymmetric unit holds Dy at (0.000, 0.247, 0.000), Dy at (0.000, 0.251, 0.332), Er at (0.000, 0.000, 0.500), Th at (0.000, 0.000, 0.167), Th at (0.000, 0.500, 0.167) and Th at (0.000, 0.500, 0.500).

Its calculated volume is 31.8 Å³ per atom. The mass density comes out at 10.0 g cm⁻³. The value obtained for the total energy is -5.7295 eV/atom. The density of states at the Fermi level is 15.9 states/eV/f.u. The calculation puts the formation energy at 0.04 eV/atom.

***

Entry 2:
VASP calculation (PBE) on crystalline DyErTh2 at its relaxed geometry.

The space group is R3m (No. 160, hexagonal axes) and the conventional cell measures 3.5536, 3.5536 and 34.7076 Å, with angles of 90.00, 90.00 and 120.00 degrees. The asymmetric unit holds Dy at (0.0000, 0.0000, 0.0000), Er at (0.0000, 0.0000, 0.1700), Th at (0.0000, 0.0000, 0.5849) and Th at (0.0000, 0.0000, 0.7518).

Its calculated volume is 31.6 Å³ per atom. The mass density comes out at 10.4 g cm⁻³. The value obtained for the total energy is -5.9627 eV/atom. The density of states at the Fermi level is 6.1 states/eV/f.u. The calculation puts the formation energy at 0.04 eV/atom.

***

Entry 3:
VASP calculation (PBE) on crystalline DyEr6Th3 at its relaxed geometry.

The space group is P2_1/m (No. 11) and the conventional cell measures 13.042, 3.496 and 14.578 Å, with angles of 90.00, 108.42 and 90.00 degrees. The asymmetric unit holds Dy at (0.081, 0.250, 0.197), Er at (0.141, 0.750, 0.013), Er at (0.156, 0.250, 0.809), Er at (0.215, 0.250, 0.601), Er at (0.260, 0.750, 0.403), Er at (0.339, 0.250, 0.224), Er at (0.393, 0.750, 0.790), Th at (0.007, 0.250, 0.395), Th at (0.385, 0.250, 0.004) and Th at (0.465, 0.250, 0.590).

Its calculated volume is 31.5 Å³ per atom. The mass density comes out at 9.8 g cm⁻³. The value obtained for the total energy is -5.3436 eV/atom. The density of states at the Fermi level is 15.8 states/eV/f.u. The calculation puts the formation energy at 0.08 eV/atom.

***

Entry 4:
VASP calculation (PBE) on crystalline Dy12Er7Th at its relaxed geometry.

The space group is Im-3m (No. 229) and the conventional cell measures 11.242, 11.242 and 11.242 Å, with angles of 90.00, 90.00 and 90.00 degrees. The asymmetric unit holds Dy at (0.000, 0.246, 0.246), Er at (0.000, 0.000, 0.500), Er at (0.250, 0.250, 0.250) and Th at (0.000, 0.000, 0.000).

Its calculated volume is 35.5 Å³ per atom. The mass density comes out at 7.8 g cm⁻³. The value obtained for the total energy is -3.9690 eV/atom. The density of states at the Fermi level is 26.3 states/eV/f.u. The calculation puts the formation energy at 0.76 eV/atom.

***

Entry 5:
VASP calculation (PBE) on crystalline Dy12ErTh5 at its relaxed geometry.

The space group is C2/m (No. 12) and the conventional cell measures 18.466, 10.623 and 6.165 Å, with angles of 90.00, 109.30 and 90.00 degrees. The asymmetric unit holds Dy at (0.000, 0.163, 0.000), Dy at (0.000, 0.335, 0.500), Dy at (0.167, 0.165, 0.832), Dy at (0.167, 0.335, 0.336), Er at (0.000, 0.500, 0.000), Th at (0.000, 0.000, 0.500), Th at (0.167, 0.000, 0.331) and Th at (0.167, 0.500, 0.830).

Its calculated volume is 31.7 Å³ per atom. The mass density comes out at 9.5 g cm⁻³. The value obtained for the total energy is -5.3388 eV/atom. The density of states at the Fermi level is 27.9 states/eV/f.u. The calculation puts the formation energy at 0.04 eV/atom.

***

Entry 6:
VASP calculation (PBE) on crystalline DyErTh6 at its relaxed geometry.

The space group is P4/mmm (No. 123) and the conventional cell measures 5.043, 5.043 and 10.087 Å, with angles of 90.00, 90.00 and 90.00 degrees. The asymmetric unit holds Dy at (0.000, 0.000, 0.000), Er at (0.000, 0.000, 0.500), Th at (0.000, 0.500, 0.250), Th at (0.500, 0.500, 0.000) and Th at (0.500, 0.500, 0.500).

Its calculated volume is 32.1 Å³ per atom. The mass density comes out at 11.1 g cm⁻³. The value obtained for the total energy is -6.6544 eV/atom. The density of states at the Fermi level is 13.6 states/eV/f.u. The calculation puts the formation energy at 0.06 eV/atom.